{"formula": "BaTlI2Cl", "functional": "meta-GGA SCAN", "state": "PBEsol geometry", "total_magnetization_mub_per_fu": 0.00, "formation_energy_uncorrected_ev_per_atom": -1.446, "lattice_angstrom": [[-1.0763, -4.2097, 3.8226], [-2.7140, -3.6782, -4.8149], [5.9319, -2.6881, -1.2901]], "species": ["I", "I", "Cl", "Tl", "Ba"], "fractional_positions": [[0.0000, 0.0000, 0.5000], [0.0000, 0.5000, 0.0000], [0.5000, 0.0000, 0.0000], [0.5000, 0.5000, 0.5000], [0.0000, 0.0000, 0.0000]]}

=====

{"formula": "Ba2InCl", "functional": "meta-GGA SCAN", "state": "PBEsol geometry", "total_magnetization_mub_per_fu": 0.00, "formation_energy_uncorrected_ev_per_atom": -0.964, "lattice_angstrom": [[-1.1451, 4.0042, -2.0885], [-4.3726, -0.4442, 1.5458], [4.4400, 1.7030, 6.0276]], "species": ["Ba", "Ba", "In", "Cl"], "fractional_positions": [[0.0000, 0.0000, 0.0000], [0.7500, 0.2500, 0.5000], [0.2500, 0.7500, 0.5000], [0.5000, 0.5000, 0.0000]]}

=====

{"formula": "Ba2InCl", "functional": "meta-GGA SCAN", "state": "PBEsol geometry", "total_magnetization_mub_per_fu": 0.01, "formation_energy_uncorrected_ev_per_atom": -1.267, "lattice_angstrom": [[3.9928, 0.0000, 0.0000], [0.0000, 6.1536, 0.0000], [0.0000, 0.0000, 6.1536]], "species": ["In", "Cl", "Ba", "Ba"], "fractional_positions": [[0.2547, 0.5000, 0.5000], [0.7513, 0.0000, 0.0000], [0.7543, 0.5000, 0.0000], [0.7543, 0.0000, 0.5000]]}

=====

{"formula": "Ba2InCl", "functional": "meta-GGA SCAN", "state": "PBEsol geometry", "total_magnetization_mub_per_fu": 0.00, "formation_energy_uncorrected_ev_per_atom": -1.256, "lattice_angstrom": [[3.8258, 0.0000, 0.0000], [0.0000, 3.8258, 0.0000], [0.0000, 0.0000, 8.9739]], "species": ["Ba", "Ba", "Cl", "In"], "fractional_positions": [[0.0000, 0.0000, 0.7575], [0.0000, 0.0000, 0.2425], [0.5000, 0.5000, 0.0000], [0.5000, 0.5000, 0.5000]]}

=====

{"formula": "BaInCl2", "functional": "meta-GGA SCAN", "state": "PBEsol geometry", "total_magnetization_mub_per_fu": 0.00, "formation_energy_uncorrected_ev_per_atom": -1.632, "lattice_angstrom": [[3.6955, 0.0000, 0.0000], [0.0000, 3.6955, 0.0000], [0.0000, 0.0000, 9.4207]], "species": ["Cl", "Cl", "Ba", "In"], "fractional_positions": [[0.0000, 0.0000, 0.6812], [0.0000, 0.0000, 0.3188], [0.5000, 0.5000, 0.5000], [0.5000, 0.5000, 0.0000]]}

=====

{"formula": "BaInCl2", "functional": "meta-GGA SCAN", "state": "PBEsol geometry", "total_magnetization_mub_per_fu": 0.00, "formation_energy_uncorrected_ev_per_atom": -1.514, "lattice_angstrom": [[4.2549, 0.0075, 0.0106], [-1.7590, 5.5983, 0.0178], [-1.7590, -1.8767, 5.2745]], "species": ["Cl", "Cl", "In", "Ba"], "fractional_positions": [[0.0000, 0.5000, 0.0000], [0.0000, 0.0000, 0.5000], [0.5000, 0.0000, 0.0000], [0.5000, 0.5000, 0.5000]]}

=====

{"formula": "BaInCl", "functional": "meta-GGA SCAN", "state": "PBEsol geometry", "total_magnetization_mub_per_fu": 0.00, "formation_energy_uncorrected_ev_per_atom": -0.981, "lattice_angstrom": [[-3.9377, 1.1006, 3.2514], [-1.2801, -3.3649, 3.7851], [0.9872, 1.1840, 4.9912]], "species": ["In", "Cl", "Ba"], "fractional_positions": [[0.0000, 0.0000, 0.0000], [0.2500, 0.2500, 0.2500], [0.5000, 0.5000, 0.5000]]}

=====

{"formula": "BaInCl2", "functional": "meta-GGA SCAN", "state": "PBEsol geometry", "total_magnetization_mub_per_fu": 0.00, "formation_energy_uncorrected_ev_per_atom": -1.607, "lattice_angstrom": [[4.4938, 0.0000, 0.0000], [2.2469, 3.8918, 0.0000], [2.2469, 1.2973, 9.0914]], "species": ["In", "Ba", "Cl", "Cl"], "fractional_positions": [[0.5000, 0.5000, 0.5000], [0.0000, 0.0000, 0.0000], [0.7229, 0.7229, 0.8314], [0.2771, 0.2771, 0.1686]]}

=====

{"formula": "Ba2InCl", "functional": "meta-GGA SCAN", "state": "PBEsol geometry", "total_magnetization_mub_per_fu": 0.00, "formation_energy_uncorrected_ev_per_atom": -1.293, "lattice_angstrom": [[-0.2108, 3.9566, -0.9258], [-2.0217, -0.9401, -3.5575], [-7.8994, 0.5968, 4.3488]], "species": ["Ba", "Ba", "In", "Cl"], "fractional_positions": [[0.0000, 0.0008, 0.2325], [0.0000, 0.9992, 0.7675], [0.5000, 0.5000, 0.0000], [0.5000, 0.0000, 0.5000]]}

=====

{"formula": "Ba3InS4Cl", "functional": "meta-GGA SCAN", "state": "PBEsol geometry", "total_magnetization_mub_per_fu": 0.00, "formation_energy_uncorrected_ev_per_atom": -2.038, "lattice_angstrom": [[-7.3084, -2.9442, -2.6202], [2.9819, -3.0234, 8.2364], [-3.6981, 3.2136, 6.7040]], "species": ["S", "S", "S", "S", "S", "S", "S", "S", "Ba", "Ba", "Ba", "Ba", "Ba", "Ba", "In", "In", "Cl", "Cl"], "fractional_positions": [[0.3024, 0.2846, 0.5178], [0.6976, 0.7154, 0.4822], [0.1976, 0.7154, 0.3024], [0.4822, 0.2846, 0.0178], [0.8024, 0.2846, 0.6976], [0.0178, 0.7154, 0.8024], [0.9822, 0.2846, 0.1976], [0.5178, 0.7154, 0.9822], [0.3470, 0.0000, 0.8470], [0.6530, 0.0000, 0.1530], [0.8470, 0.0000, 0.6530], [0.2500, 0.5000, 0.7500], [0.7500, 0.5000, 0.2500], [0.1530, 0.0000, 0.3470], [0.2500, 0.5000, 0.2500], [0.7500, 0.5000, 0.7500], [0.0000, 0.0000, 0.0000], [0.5000, 0.0000, 0.5000]]}

=====

{"formula": "Ba2Ir2Cl", "functional": "meta-GGA SCAN", "state": "PBEsol geometry", "total_magnetization_mub_per_fu": 0.00, "formation_energy_uncorrected_ev_per_atom": -0.688, "lattice_angstrom": [[3.7475, 0.0000, 0.0000], [0.0000, 3.7475, 0.0000], [-1.8737, -1.8737, 9.2158]], "species": ["Ba", "Ba", "Cl", "Ir", "Ir"], "fractional_positions": [[0.3852, 0.3852, 0.7705], [0.6148, 0.6148, 0.2295], [0.0000, 0.0000, 0.0000], [0.7500, 0.2500, 0.5000], [0.2500, 0.7500, 0.5000]]}

=====

{"formula": "K2BaCl", "functional": "meta-GGA SCAN", "state": "PBEsol geometry", "total_magnetization_mub_per_fu": 0.13, "formation_energy_uncorrected_ev_per_atom": -0.987, "lattice_angstrom": [[-1.3980, 2.9726, 2.8359], [0.4968, -0.6627, 4.2600], [10.2969, 6.1365, 1.9642]], "species": ["K", "K", "Ba", "Cl"], "fractional_positions": [[0.7500, 0.7500, 0.7500], [0.9730, 0.9730, 0.0810], [0.5248, 0.5248, 0.4256], [0.2522, 0.2522, 0.2434]]}